The following is a DFT calculation (PBE-GGA) of an optimized crystal structure of CsBaTa.

The structure in extended XYZ format:
```
6
Lattice="-4.9003 11.5396 7.8700 4.0146 -8.1211 -11.7065 -4.2352 -1.5335 -0.3886" Properties=species:S:1:pos:R:3 pbc="T T T"
Ta -1.3295 0.9462 -2.3934
Ta -3.7914 0.9388 -1.8317
Ba -7.5295 9.1827 6.3769
Ba 2.4086 -7.2977 -10.6020
Cs 0.0766 -2.1547 -5.4811
Cs -5.1975 4.0397 1.2560
```

**V**: 343.5 Å³/cell
**E_tot**: -12.41 eV/f.u.